Entry 1:
A relaxed structure of Th3AlOs3, computed with PBE.

Output
Its formation energy is -67 meV per atom. The magnetization is 0.00 Bohr magnetons per cell. For the density of states at the Fermi level, the calculation gives 0.573 states/eV/atom. The calculation puts the total energy at -120.3 eV per cell.

Cell: 8.5484 8.5484 5.6684 Å, 90.00 90.00 120.00°
Closest atoms and distances in Å follow each position.
Fractional positions:
Th  0.0533  0.7057  0.2500  5 Os 2.84-2.95
Th  0.2943  0.3476  0.2500  5 Os 2.84-2.95
Th  0.3476  0.0533  0.7500  5 Os 2.84-2.95
Th  0.6524  0.9467  0.2500  5 Os 2.84-2.95
Th  0.7057  0.6524  0.7500  5 Os 2.84-2.95
Th  0.9467  0.2943  0.7500  5 Os 2.84-2.95
Al  0.3333  0.6667  0.7500  3 Os 2.46
Al  0.6667  0.3333  0.2500  3 Os 2.46
Os  0.0525  0.6803  0.7500  1 Al 2.46
Os  0.3197  0.3723  0.7500  1 Al 2.46
Os  0.3723  0.0525  0.2500  1 Al 2.46
Os  0.6277  0.9475  0.7500  1 Al 2.46
Os  0.6803  0.6277  0.2500  1 Al 2.46
Os  0.9475  0.3197  0.2500  1 Al 2.46

Entry 2:
A relaxed structure of NaLi2Br3, computed with PBE.

Output
The calculation puts the energy relative to the lowest polymorph listed for this composition at 0.087 eV/atom. The magnetization is 0.00 Bohr magnetons per cell. For the density of states at the Fermi level, the calculation gives 0.000 states/eV/atom. The value obtained for the raw formation energy is -1.439 eV per atom. The calculation puts the total energy at -37.6 eV per cell.

Cell: 8.0891 8.0891 6.0453 Å, 90.00 90.00 110.50°
Closest atoms and distances in Å follow each position.
Fractional positions:
Na  0.2279  0.7721  0.7500  2 Br 2.89
Na  0.7721  0.2279  0.2500  2 Br 2.89
Li  0.1763  0.1763  0.0000  4 Br 2.47-2.58
Li  0.1763  0.1763  0.5000  4 Br 2.47-2.58
Li  0.8237  0.8237  0.0000  4 Br 2.47-2.58
Li  0.8237  0.8237  0.5000  4 Br 2.47-2.58
Br  0.0994  0.9006  0.2500  4 Li 2.58
Br  0.1507  0.4082  0.2500  2 Li 2.47
Br  0.4082  0.1507  0.7500  2 Li 2.47
Br  0.5918  0.8493  0.2500  2 Li 2.47
Br  0.8493  0.5918  0.7500  2 Li 2.47
Br  0.9006  0.0994  0.7500  4 Li 2.58

Entry 3:
A relaxed structure of LiMgV, computed with PBE.

Output
The calculation puts the energy relative to the lowest polymorph listed for this composition at 0.067 eV/atom. Its formation energy is 285 meV per atom. The magnetization is 0.00 Bohr magnetons per cell. For the density of states at the Fermi level, the calculation gives 0.542 states/eV/atom. The calculation puts the total energy at -23.5 eV per cell.

Cell: 2.8071 4.8165 7.8226 Å, 90.00 94.58 90.00°
Closest atoms and distances in Å follow each position.
Fractional positions:
Li  0.0000  0.0000  0.0000  2 Mg 2.56, 4 V 2.76, 2 Li 2.81
Li  0.0000  0.5000  0.5000  2 Li 2.81, 4 Mg 2.96, 2 V 3.10
Mg  0.3045  0.0000  0.3174  1 Li 2.56, 2 Mg 2.81
Mg  0.6955  0.0000  0.6826  1 Li 2.56, 2 Mg 2.81
V  0.3340  0.5000  0.8869  1 V 1.93
V  0.6660  0.5000  0.1131  1 V 1.93

Entry 4:
A relaxed structure of LiYBr2, computed with PBE.

Output
The calculation puts the energy relative to the lowest polymorph listed for this composition at 0.311 eV/atom. The magnetization is 0.00 Bohr magnetons per cell. For the density of states at the Fermi level, the calculation gives 0.548 states/eV/atom. The value obtained for the raw formation energy is -0.907 eV per atom. The calculation puts the total energy at -15.4 eV per cell.

Cell: 4.9854 4.9854 3.6346 Å, 90.00 90.00 90.12°
Closest atoms and distances in Å follow each position.
Fractional positions:
Li  0.0000  0.0000  0.0000  8 Br 3.08
Y  0.5000  0.5000  0.0000  8 Br 3.08
Br  0.0000  0.5000  0.5000  4 Li 3.08, 4 Y 3.08
Br  0.5000  0.0000  0.5000  4 Li 3.08, 4 Y 3.08

Among the records above, which one has the lowest density of states at the Fermi level?
NaLi2Br3

Which of these has the highest density of states at the Fermi level?
Th3AlOs3

Number 2 is which compound?
NaLi2Br3